DFT (GGA-PBE) results for an optimized crystal structure of TcRuCl.

Formation energy (no corrections) in eV per atom: 1.281
Total magnetic moment in μB per cell: 0.00
Energy relative to the lowest polymorph listed for this composition in meV/atom: 1025.4
Total energy in eV/atom: -5.881

a = 5.664 Å, b = 5.664 Å, c = 5.664 Å
α = 90.00°, β = 90.00°, γ = 90.00°
Space group F-43m (No. 216)
Symmetry-distinct sites (fractional):
Tc (0.000, 0.000, 0.000) [4 per cell]
Ru (0.000, 0.000, 0.500) [4 per cell]
Cl (0.250, 0.250, 0.250) [4 per cell]

DFT (GGA-PBE) results for an optimized crystal structure of TcRu4Cl.

Formation energy (no corrections) in eV per atom: 1.090
Total magnetic moment in μB per cell: 8.90
Total energy in eV/atom: -7.129

a = 7.260 Å, b = 7.260 Å, c = 7.260 Å
α = 90.00°, β = 90.00°, γ = 90.00°
Space group F-43m (No. 216)
Symmetry-distinct sites (fractional):
Tc (0.000, 0.000, 0.000) [4 per cell]
Ru (0.125, 0.125, 0.375) [16 per cell]
Cl (0.250, 0.250, 0.750) [4 per cell]

DFT (GGA-PBE) results for an optimized crystal structure of TcRu3Cl.

Formation energy (no corrections) in eV per atom: 1.395
Total magnetic moment in μB per cell: 1.43
Energy relative to the lowest polymorph listed for this composition in meV/atom: 0.0
Total energy in eV/atom: -6.613

a = 4.317 Å, b = 4.317 Å, c = 4.317 Å
α = 90.00°, β = 90.00°, γ = 90.00°
Space group Pm-3m (No. 221)
Symmetry-distinct sites (fractional):
Tc (0.000, 0.000, 0.000) [1 per cell]
Ru (0.000, 0.500, 0.500) [3 per cell]
Cl (0.500, 0.500, 0.500) [1 per cell]

DFT (GGA-PBE) results for an optimized crystal structure of Tc4RuCl.

Formation energy (no corrections) in eV per atom: 0.971
Total magnetic moment in μB per cell: 0.00
Total energy in eV/atom: -7.793

a = 7.269 Å, b = 7.269 Å, c = 7.269 Å
α = 90.00°, β = 90.00°, γ = 90.00°
Space group F-43m (No. 216)
Symmetry-distinct sites (fractional):
Tc (0.125, 0.125, 0.125) [16 per cell]
Ru (0.000, 0.000, 0.500) [4 per cell]
Cl (0.250, 0.250, 0.750) [4 per cell]

DFT (GGA-PBE) results for an optimized crystal structure of TcRuCl.

Formation energy (no corrections) in eV per atom: 0.655
Total magnetic moment in μB per cell: 0.00
Energy relative to the lowest polymorph listed for this composition in meV/atom: 399.0
Total energy in eV/atom: -6.508

a = 4.1167 Å, b = 4.1167 Å, c = 2.9371 Å
α = 90.00°, β = 90.00°, γ = 120.00°
Space group P3m1 (No. 156)
Symmetry-distinct sites (fractional):
Tc (0.0000, 0.0000, 0.0000) [1 per cell]
Ru (0.6667, 0.3333, 0.5142) [1 per cell]
Cl (0.3333, 0.6667, 0.1834) [1 per cell]

DFT (GGA-PBE) results for an optimized crystal structure of TcRuCl.

Formation energy (no corrections) in eV per atom: 0.256
Total magnetic moment in μB per cell: 0.00
Energy relative to the lowest polymorph listed for this composition in meV/atom: 0.0
Total energy in eV/atom: -6.907

a = 2.8832 Å, b = 2.8832 Å, c = 6.2268 Å
α = 90.00°, β = 90.00°, γ = 120.00°
Space group P3m1 (No. 156)
Symmetry-distinct sites (fractional):
Tc (0.0000, 0.0000, 0.0000) [1 per cell]
Ru (0.3333, 0.6667, 0.6841) [1 per cell]
Cl (0.6667, 0.3333, 0.3257) [1 per cell]